VASP calculation (PBE) on crystalline AcCuAgPd at its relaxed geometry.

a b c (Å): 5.0162 5.0162 5.0162
angles (deg): 60.00 60.00 60.00
Last column: nearest neighbours and their distance in Å.
Fractional positions:
Ag 0.5000 0.5000 0.5000  4 Cu 3.07, 4 Pd 3.07
Cu 0.2500 0.2500 0.2500  4 Ac 3.07, 4 Ag 3.07
Pd 0.7500 0.7500 0.7500  4 Ac 3.07, 4 Ag 3.07
Ac 0.0000 0.0000 0.0000  4 Cu 3.07, 4 Pd 3.07

Properties
**Volume**: 89.2 Å³ per cell
**Symmetry**: No. 216
**E_form**: -0.8 eV per formula unit
**Density of states at the Fermi level**: 0.541 states/eV/atom